Below is AsWSe2 after structural relaxation, with properties calculated at the PBE level.

```
data_AsWSe2
_chemical_formula_sum 'As1 W1 Se2'
_cell_length_a 3.017
_cell_length_b 3.017
_cell_length_c 9.911
_cell_angle_alpha 90.00
_cell_angle_beta 90.00
_cell_angle_gamma 90.00
_space_group_name_H-M_alt 'P 1'
_space_group_IT_number 1
_space_group_name_Hall 'P 1'
loop_
_atom_site_label
_atom_site_type_symbol
_atom_site_fract_x
_atom_site_fract_y
_atom_site_fract_z
As1 As 0.000 0.000 0.000
W1 W 0.000 0.000 0.500
Se1 Se 0.500 0.500 0.340
Se2 Se 0.500 0.500 0.660
```

Calculated values
The total DFT energy (no corrections) is -23.8 eV/cell. As for the formation energy from raw total energies: 0.18 eV per atom. The size of the total moment is 0.00 μB per atom. As for the space group: P4/mmm, No. 123.

Below is TaSb3As after structural relaxation, with properties calculated at the PBE level.

```
data_TaSb3As
_chemical_formula_sum 'Ta1 Sb3 As1'
_cell_length_a 5.337
_cell_length_b 5.337
_cell_length_c 5.337
_cell_angle_alpha 90.00
_cell_angle_beta 90.00
_cell_angle_gamma 90.00
_space_group_name_H-M_alt 'P 1'
_space_group_IT_number 1
_space_group_name_Hall 'P 1'
loop_
_atom_site_label
_atom_site_type_symbol
_atom_site_fract_x
_atom_site_fract_y
_atom_site_fract_z
Ta1 Ta 0.000 0.000 0.000
Sb1 Sb 0.000 0.000 0.500
Sb2 Sb 0.000 0.500 0.000
Sb3 Sb 0.500 0.000 0.000
As1 As 0.500 0.500 0.500
```

Calculated values
The total DFT energy (no corrections) is -25.5 eV/cell. As for the formation energy from raw total energies: 0.68 eV per atom. The size of the total moment is 0.27 μB per atom. As for the space group: Pm-3m, No. 221.